# Ca2SmThP4

A relaxed Ca2SmThP4 crystal (PBE, Alexandria via LeMat-Bulk).

a b c (Å): 7.1337 4.1714 7.2160
angles (deg): 90.00 109.77 90.00
Fractional coordinates of all 8 atoms:
Ca 0.0000 0.0000 0.0000
Ca 0.0000 0.5000 0.5000
Sm 0.5000 0.0000 0.5000
Th 0.5000 0.5000 0.0000
P 0.2590 0.5000 0.2522
P 0.2596 0.0000 0.7540
P 0.7404 0.0000 0.2460
P 0.7410 0.5000 0.7478

total DFT energy (no corrections): -6.0023 eV/atom
calculated formation energy: -1.2796 eV per atom
size of the total moment: 0.0 Bohr magnetons per cell